Compound: KRhWO6
Source: Alexandria via LeMat-Bulk
Functional: GGA+U
Structure: relaxed

Calculated values
* raw total energy: -6.44 eV per atom
* magnetic moment: 2.04 μB per cell
* DOS(E_F): 3.434 states/eV per cell

Geometry as CIF:
```
data_KRhWO6
_cell_length_a 5.2935
_cell_length_b 5.2935
_cell_length_c 6.0042
_cell_angle_alpha 90.00
_cell_angle_beta 90.00
_cell_angle_gamma 120.00
_symmetry_space_group_name_H-M 'P 3 1 2'
_symmetry_Int_Tables_number 149
loop_
_symmetry_equiv_pos_as_xyz
'x,y,z'
'-y,x-y,z'
'-x+y,-x,z'
'-y,-x,-z'
'-x+y,y,-z'
'x,x-y,-z'
loop_
_atom_site_label
_atom_site_fract_x
_atom_site_fract_y
_atom_site_fract_z
K1 0.0000 0.0000 0.0000
Rh1 0.6667 0.3333 0.5000
W1 0.3333 0.6667 0.5000
O1 0.0046 0.3854 0.6809
```